# Al3Cu PBE optimized geometry
data_Al3Cu
_chemical_formula_sum 'Al6 Cu2'
_cell_length_a 5.4172
_cell_length_b 5.4172
_cell_length_c 4.7968
_cell_angle_alpha 90.00
_cell_angle_beta 90.00
_cell_angle_gamma 120.00
_symmetry_space_group_name_H-M 'P 63/m m c'
_symmetry_Int_Tables_number 194
_symmetry_space_group_name_Hall '-P 6c 2c'
loop_
_atom_site_label
_atom_site_type_symbol
_atom_site_fract_x
_atom_site_fract_y
_atom_site_fract_z
Al1 Al 0.1667 0.3334 0.2500
Cu1 Cu 0.3333 0.6667 0.7500
# - E_form (meV per atom) = 6
# - calculated density (Mg/m³) = 3.9
# - V (Å³ per cell) = 121.9

=====

# AlCu6 PBE optimized geometry
data_AlCu6
_chemical_formula_sum 'Al3 Cu18'
_cell_length_a 10.8088
_cell_length_b 10.8088
_cell_length_c 2.5685
_cell_angle_alpha 90.00
_cell_angle_beta 90.00
_cell_angle_gamma 120.00
_symmetry_space_group_name_H-M 'R -3'
_symmetry_Int_Tables_number 148
_symmetry_space_group_name_Hall '-R 3'
loop_
_atom_site_label
_atom_site_type_symbol
_atom_site_fract_x
_atom_site_fract_y
_atom_site_fract_z
Al1 Al 0.0000 0.0000 0.0000
Cu1 Cu 0.0503 0.8098 0.6416
# - E_form (meV per atom) = -41
# - calculated density (Mg/m³) = 7.8
# - V (Å³ per cell) = 259.9
# - ΔE to the lowest computed polymorph (meV/atom) = 0